<i>
A plane-wave DFT calculation with PBE was carried out for ZrPRu3 after structural relaxation.

The structure in POSCAR format:
```
ZrPRu3
1.0
4.791 0.000 0.000
0.000 4.791 0.000
0.000 0.000 4.791
Zr P Ru
1 1 3
direct
0.000 0.000 0.000 Zr
0.500 0.500 0.500 P
0.000 0.000 0.500 Ru
0.000 0.500 0.000 Ru
0.500 0.000 0.000 Ru
```

Values from the calculation:
Space group: Pm-3m
Total magnetic moment, μB/f.u.: 3.31


<ii>
A plane-wave DFT calculation with PBE was carried out for ZrPRu3 after structural relaxation.

The structure in POSCAR format:
```
ZrPRu3
1.0
4.353 0.000 0.000
0.000 4.353 0.000
0.000 0.000 4.353
Zr P Ru
1 1 3
direct
0.000 0.000 0.000 Zr
0.500 0.500 0.500 P
0.000 0.500 0.500 Ru
0.500 0.000 0.500 Ru
0.500 0.500 0.000 Ru
```

Values from the calculation:
Space group: Pm-3m
Total magnetic moment, μB/f.u.: 0.00


Most stable structure - <ii>; separation to the second - 2154 meV/atom.


<i>
A plane-wave DFT calculation with PBE was carried out for PS4 after structural relaxation.

The structure in POSCAR format:
```
PS4
1.0
4.505 0.000 0.000
0.000 4.505 0.000
0.000 0.000 4.505
P S
1 4
direct
0.000 0.000 0.000 P
0.000 0.000 0.500 S
0.000 0.500 0.000 S
0.500 0.000 0.000 S
0.500 0.500 0.500 S
```

Values from the calculation:
Space group: Pm-3m
Total magnetic moment, μB/f.u.: 0.00


<ii>
A plane-wave DFT calculation with PBE was carried out for PS4 after structural relaxation.

The structure in POSCAR format:
```
PS4
1.0
8.734 0.000 0.000
0.000 6.264 0.000
-2.181 0.000 5.021
P S
2 8
direct
0.000 0.000 0.000 P
0.500 0.500 0.000 P
0.210 0.239 0.148 S
0.210 0.761 0.148 S
0.290 0.261 0.852 S
0.290 0.739 0.852 S
0.710 0.261 0.148 S
0.710 0.739 0.148 S
0.790 0.239 0.852 S
0.790 0.761 0.852 S
```

Values from the calculation:
Space group: C2/m
Total magnetic moment, μB/f.u.: 0.00


Most stable structure - <ii>; separation to the second - 593 meV/atom.


<i>
A plane-wave DFT calculation with PBE was carried out for P2S3 after structural relaxation.

The structure in POSCAR format:
```
P2S3
1.0
7.679 -1.665 0.000
7.679 1.665 0.000
-4.833 0.000 10.153
P S
4 6
direct
0.045 0.045 0.253 P
0.351 0.351 0.084 P
0.649 0.649 0.916 P
0.955 0.955 0.747 P
0.091 0.091 0.737 S
0.217 0.217 0.095 S
0.382 0.382 0.613 S
0.618 0.618 0.387 S
0.783 0.783 0.905 S
0.909 0.909 0.263 S
```

Values from the calculation:
Space group: C2/m
Total magnetic moment, μB/f.u.: 0.00


<ii>
A plane-wave DFT calculation with PBE was carried out for P2S3 after structural relaxation.

The structure in POSCAR format:
```
P2S3
1.0
4.691 0.000 0.000
0.000 11.111 0.000
-4.645 0.000 10.697
P S
8 12
direct
0.089 0.193 0.478 P
0.089 0.307 0.978 P
0.382 0.197 0.772 P
0.382 0.303 0.272 P
0.618 0.697 0.728 P
0.618 0.803 0.228 P
0.911 0.693 0.022 P
0.911 0.807 0.522 P
0.170 0.645 0.596 S
0.170 0.855 0.096 S
0.272 0.140 0.345 S
0.272 0.360 0.845 S
0.474 0.219 0.124 S
0.474 0.281 0.624 S
0.526 0.719 0.376 S
0.526 0.781 0.876 S
0.728 0.640 0.155 S
0.728 0.860 0.655 S
0.830 0.145 0.904 S
0.830 0.355 0.404 S
```

Values from the calculation:
Space group: P2_1/c
Total magnetic moment, μB/f.u.: 0.00


<iii>
A plane-wave DFT calculation with PBE was carried out for P2S3 after structural relaxation.

The structure in POSCAR format:
```
P2S3
1.0
2.447 0.000 0.000
0.000 12.304 0.000
0.000 0.000 7.052
P S
4 6
direct
0.000 0.090 0.000 P
0.000 0.410 0.500 P
0.000 0.590 0.500 P
0.000 0.910 0.000 P
0.000 0.000 0.323 S
0.000 0.161 0.728 S
0.000 0.339 0.228 S
0.000 0.500 0.823 S
0.000 0.661 0.228 S
0.000 0.839 0.728 S
```

Values from the calculation:
Space group: Amm2
Total magnetic moment, μB/f.u.: 0.00


<iv>
A plane-wave DFT calculation with PBE was carried out for P2S3 after structural relaxation.

The structure in POSCAR format:
```
P2S3
1.0
7.077 0.000 0.000
0.000 11.182 0.000
-0.263 0.000 7.682
P S
8 12
direct
0.148 0.250 0.389 P
0.262 0.617 0.724 P
0.262 0.883 0.724 P
0.296 0.750 0.501 P
0.704 0.250 0.499 P
0.738 0.117 0.276 P
0.738 0.383 0.276 P
0.852 0.750 0.611 P
0.030 0.750 0.385 S
0.037 0.097 0.258 S
0.037 0.403 0.258 S
0.359 0.750 0.907 S
0.392 0.034 0.743 S
0.392 0.466 0.743 S
0.608 0.534 0.257 S
0.608 0.966 0.257 S
0.641 0.250 0.093 S
0.963 0.597 0.742 S
0.963 0.903 0.742 S
0.970 0.250 0.615 S
```

Values from the calculation:
Space group: P2_1/m
Total magnetic moment, μB/f.u.: 0.00


Most stable structure - <iv>; separation to the second - 6 meV/atom.


<i>
A plane-wave DFT calculation with PBE was carried out for Sb2P2S after structural relaxation.

The structure in POSCAR format:
```
Sb2P2S
1.0
7.894 0.000 0.000
0.000 7.894 0.000
0.000 0.000 3.877
Sb P S
4 4 2
direct
0.247 0.253 0.000 Sb
0.253 0.753 0.000 Sb
0.747 0.247 0.000 Sb
0.753 0.747 0.000 Sb
0.100 0.600 0.500 P
0.400 0.100 0.500 P
0.600 0.900 0.500 P
0.900 0.400 0.500 P
0.000 0.000 0.000 S
0.500 0.500 0.000 S
```

Values from the calculation:
Space group: P4/mbm
Total magnetic moment, μB/f.u.: 0.19


<ii>
A plane-wave DFT calculation with PBE was carried out for Sb2P2S after structural relaxation.

The structure in POSCAR format:
```
Sb2P2S
1.0
4.072 0.000 0.000
0.000 4.072 0.000
0.000 0.000 13.626
Sb P S
4 4 2
direct
0.000 0.000 0.117 Sb
0.000 0.000 0.883 Sb
0.500 0.500 0.383 Sb
0.500 0.500 0.617 Sb
0.000 0.500 0.250 P
0.000 0.500 0.750 P
0.500 0.000 0.250 P
0.500 0.000 0.750 P
0.000 0.000 0.500 S
0.500 0.500 0.000 S
```

Values from the calculation:
Space group: I4/mmm
Total magnetic moment, μB/f.u.: 0.00


Most stable structure - <i>; separation to the second - 47 meV/atom.